A plane-wave DFT calculation with PBE was carried out for a geometry-optimized LiPmLuIr structure.

The density of states at the Fermi level comes out at 2.9 states/eV per cell. The formation energy is -0.54 eV/atom. As for the symmetry: F-43m.

Unit cell a=4.9343 b=4.9343 c=4.9343 alpha=60.00 beta=60.00 gamma=60.00
Closest atoms and distances in Å follow each position.
Element x y z (fractional)
Lu1 0.5000 0.5000 0.5000  4 Li 3.02, 4 Ir 3.02
Ir1 0.7500 0.7500 0.7500  4 Lu 3.02, 4 Pm 3.02
Pm1 0.0000 0.0000 0.0000  4 Li 3.02, 4 Ir 3.02
Li1 0.2500 0.2500 0.2500  4 Pm 3.02, 4 Lu 3.02

***

A plane-wave DFT calculation with PBE was carried out for a geometry-optimized LiLuPuIr structure.

The density of states at the Fermi level comes out at 7.3 states/eV per cell. The formation energy is -0.40 eV/atom. As for the symmetry: F-43m.

Unit cell a=4.8640 b=4.8640 c=4.8640 alpha=60.00 beta=60.00 gamma=60.00
Closest atoms and distances in Å follow each position.
Element x y z (fractional)
Li1 0.2500 0.2500 0.2500  4 Pu 2.98, 4 Lu 2.98
Pu1 0.0000 0.0000 0.0000  4 Li 2.98, 4 Ir 2.98
Lu1 0.5000 0.5000 0.5000  4 Ir 2.98, 4 Li 2.98
Ir1 0.7500 0.7500 0.7500  4 Lu 2.98, 4 Pu 2.98

***

A plane-wave DFT calculation with PBE was carried out for a geometry-optimized LiLuScIr structure.

The density of states at the Fermi level comes out at 2.8 states/eV per cell. The formation energy is -0.65 eV/atom. As for the symmetry: F-43m.

Unit cell a=4.7191 b=4.7191 c=4.7191 alpha=60.00 beta=60.00 gamma=60.00
Closest atoms and distances in Å follow each position.
Element x y z (fractional)
Li1 0.7500 0.7500 0.7500  4 Lu 2.89, 4 Sc 2.89
Sc1 0.0000 0.0000 0.0000  4 Li 2.89, 4 Ir 2.89
Ir1 0.2500 0.2500 0.2500  4 Sc 2.89, 4 Lu 2.89
Lu1 0.5000 0.5000 0.5000  4 Ir 2.89, 4 Li 2.89

***

A plane-wave DFT calculation with PBE was carried out for a geometry-optimized LiLuSiIr structure.

The calculation puts the formation energy (no corrections) at -0.65 eV/atom. The density of states at the Fermi level comes out at 3.4 states/eV per cell. As for the symmetry: F-43m.

Unit cell a=4.4752 b=4.4752 c=4.4752 alpha=60.00 beta=60.00 gamma=60.00
Closest atoms and distances in Å follow each position.
Element x y z (fractional)
Si1 0.7500 0.7500 0.7500  4 Li 2.74, 4 Ir 2.74
Li1 0.0000 0.0000 0.0000  4 Lu 2.74, 4 Si 2.74
Ir1 0.5000 0.5000 0.5000  4 Si 2.74, 4 Lu 2.74
Lu1 0.2500 0.2500 0.2500  4 Li 2.74, 4 Ir 2.74

***

A plane-wave DFT calculation with PBE was carried out for a geometry-optimized LiLuSnIr structure.

The density of states at the Fermi level comes out at 4.0 states/eV per cell. The formation energy is -0.70 eV/atom. As for the symmetry: F-43m.

Unit cell a=4.6818 b=4.6818 c=4.6818 alpha=60.00 beta=60.00 gamma=60.00
Closest atoms and distances in Å follow each position.
Element x y z (fractional)
Ir1 0.0000 0.0000 0.0000  4 Sn 2.87, 4 Lu 2.87
Sn1 0.2500 0.2500 0.2500  4 Ir 2.87, 4 Li 2.87
Li1 0.5000 0.5000 0.5000  4 Sn 2.87, 4 Lu 2.87
Lu1 0.7500 0.7500 0.7500  4 Li 2.87, 4 Ir 2.87

***

A plane-wave DFT calculation with PBE was carried out for a geometry-optimized SrLiLuIr structure.

The density of states at the Fermi level comes out at 2.0 states/eV per cell. The formation energy is -0.25 eV/atom. As for the symmetry: F-43m.

Unit cell a=5.0204 b=5.0204 c=5.0204 alpha=60.00 beta=60.00 gamma=60.00
Closest atoms and distances in Å follow each position.
Element x y z (fractional)
Lu1 0.7500 0.7500 0.7500  4 Li 3.07, 4 Ir 3.07
Ir1 0.5000 0.5000 0.5000  4 Sr 3.07, 4 Lu 3.07
Li1 0.0000 0.0000 0.0000  4 Lu 3.07, 4 Sr 3.07
Sr1 0.2500 0.2500 0.2500  4 Li 3.07, 4 Ir 3.07